! Tb2Ga12Pd, relaxed, DFT PBE; values from VASP
! Energy relative to the elements, meV/atom: -389
! Crystal system: tetragonal
&SYSTEM
  ibrav = 0, nat = 30, ntyp = 3
/
ATOMIC_SPECIES
Tb 158.93 Tb.upf
Ga 69.72 Ga.upf
Pd 106.42 Pd.upf
CELL_PARAMETERS angstrom
6.137 0.000 0.000
0.000 6.137 0.000
0.000 0.000 15.306
ATOMIC_POSITIONS crystal
Tb 0.250 0.750 0.242
Tb 0.250 0.750 0.758
Tb 0.750 0.250 0.242
Tb 0.750 0.250 0.758
Ga 0.000 0.000 0.091
Ga 0.000 0.000 0.909
Ga 0.000 0.500 0.091
Ga 0.000 0.500 0.909
Ga 0.085 0.585 0.431
Ga 0.085 0.915 0.569
Ga 0.250 0.250 0.188
Ga 0.250 0.250 0.348
Ga 0.250 0.250 0.652
Ga 0.250 0.250 0.812
Ga 0.415 0.585 0.569
Ga 0.415 0.915 0.431
Ga 0.500 0.000 0.091
Ga 0.500 0.000 0.909
Ga 0.500 0.500 0.091
Ga 0.500 0.500 0.909
Ga 0.585 0.085 0.569
Ga 0.585 0.415 0.431
Ga 0.750 0.750 0.188
Ga 0.750 0.750 0.348
Ga 0.750 0.750 0.652
Ga 0.750 0.750 0.812
Ga 0.915 0.085 0.431
Ga 0.915 0.415 0.569
Pd 0.250 0.750 0.000
Pd 0.750 0.250 0.000

! AcZn9Cu2, relaxed, DFT PBE; values from VASP
! Energy relative to the elements, meV/atom: -238
! Crystal system: tetragonal
! Energy above the lowest structure with this stoichiometry, meV/atom: 0
&SYSTEM
  ibrav = 0, nat = 24, ntyp = 3
/
ATOMIC_SPECIES
Ac 227.00 Ac.upf
Zn 65.41 Zn.upf
Cu 63.55 Cu.upf
CELL_PARAMETERS angstrom
-5.352 5.352 3.421
5.352 -5.352 3.421
5.352 5.352 -3.421
ATOMIC_POSITIONS crystal
Ac 0.375 0.625 0.750
Ac 0.625 0.375 0.250
Zn 0.125 0.875 0.250
Zn 0.144 0.565 0.332
Zn 0.144 0.812 0.578
Zn 0.188 0.266 0.332
Zn 0.188 0.856 0.922
Zn 0.266 0.188 0.832
Zn 0.266 0.435 0.078
Zn 0.435 0.266 0.578
Zn 0.435 0.856 0.168
Zn 0.565 0.144 0.832
Zn 0.565 0.734 0.422
Zn 0.734 0.565 0.922
Zn 0.734 0.812 0.168
Zn 0.812 0.144 0.078
Zn 0.812 0.734 0.668
Zn 0.856 0.188 0.422
Zn 0.856 0.435 0.668
Zn 0.875 0.125 0.750
Cu 0.000 0.000 0.000
Cu 0.000 0.000 0.500
Cu 0.000 0.500 0.000
Cu 0.500 0.000 0.500

! Ca6AgAu, relaxed, DFT PBE; values from VASP
! Energy relative to the elements, meV/atom: -287
! Crystal system: tetragonal
&SYSTEM
  ibrav = 0, nat = 16, ntyp = 3
/
ATOMIC_SPECIES
Ca 40.08 Ca.upf
Ag 107.87 Ag.upf
Au 196.97 Au.upf
CELL_PARAMETERS angstrom
5.274 0.000 0.000
0.000 5.274 0.000
0.000 0.000 18.973
ATOMIC_POSITIONS crystal
Ca 0.000 0.000 0.249
Ca 0.000 0.000 0.751
Ca 0.000 0.500 0.094
Ca 0.000 0.500 0.406
Ca 0.000 0.500 0.594
Ca 0.000 0.500 0.906
Ca 0.500 0.000 0.094
Ca 0.500 0.000 0.406
Ca 0.500 0.000 0.594
Ca 0.500 0.000 0.906
Ca 0.500 0.500 0.251
Ca 0.500 0.500 0.749
Ag 0.000 0.000 0.000
Ag 0.500 0.500 0.500
Au 0.000 0.000 0.500
Au 0.500 0.500 0.000

! LaH8PdRh4, relaxed, DFT PBE; values from VASP
! Crystal system: trigonal
! Electronic total energy, eV/atom: -4.96
&SYSTEM
  ibrav = 0, nat = 14, ntyp = 4
/
ATOMIC_SPECIES
La 138.91 La.upf
H 1.01 H.upf
Pd 106.42 Pd.upf
Rh 102.91 Rh.upf
CELL_PARAMETERS angstrom
2.852 1.647 4.695
-2.852 1.647 4.695
0.000 -3.293 4.695
ATOMIC_POSITIONS crystal
La 0.000 0.000 0.000
H 0.117 0.667 0.667
H 0.160 0.160 0.512
H 0.160 0.512 0.160
H 0.161 0.161 0.161
H 0.512 0.160 0.160
H 0.616 0.616 0.616
H 0.667 0.117 0.667
H 0.667 0.667 0.117
Pd 0.382 0.382 0.382
Rh 0.379 0.379 0.871
Rh 0.379 0.871 0.379
Rh 0.745 0.745 0.745
Rh 0.871 0.379 0.379